VASP calculation (PBE with a Hubbard U) on a geometry-optimized RbAcV2O7 structure.

Geometry as POSCAR:
```
RbAcV2O7
1.0
3.772 0.000 0.000
0.000 3.772 0.000
0.000 0.000 10.979
Rb Ac V O
1 1 2 7
Cartesian
0.000 0.000 0.000
0.000 0.000 5.490
1.886 1.886 3.160
1.886 1.886 7.819
0.000 1.886 3.510
0.000 1.886 7.470
1.886 0.000 3.510
1.886 0.000 7.470
1.886 1.886 1.492
1.886 1.886 5.490
1.886 1.886 9.488
```

Summary:
The space group is P4/mmm (123). The crystal system is tetragonal. As for the calculated total energy: -80.0 eV for the cell shown. The calculation puts the total magnetization at 0.0 μB per cell. The value obtained for the calculated volume is 14.20 Å³ per atom.